1.
First-principles (PBE) data for an optimized crystal structure of ZnBiMo3, as listed in Alexandria.

Cell and atoms, written as CIF:
```
data_ZnBiMo3
_space_group_name_H-M_alt 'P m -3 m'
_space_group_IT_number 221
_space_group_name_Hall '-P 4 2 3'
_cell_length_a 5.0215
_cell_length_b 5.0215
_cell_length_c 5.0215
_cell_angle_alpha 90.00
_cell_angle_beta 90.00
_cell_angle_gamma 90.00
loop_
_atom_site_label
_atom_site_type_symbol
_atom_site_fract_x
_atom_site_fract_y
_atom_site_fract_z
Zn1 Zn 0.0000 0.0000 0.0000
Bi1 Bi 0.5000 0.5000 0.5000
Mo1 Mo 0.0000 0.5000 0.5000
```

Calculated values
- polymorph energy (0 for the lowest one) (eV per formula unit) = 4.74
- calculated formation energy (kJ per mole of atoms) = 238.5
- crystal system = cubic

=====

2.
First-principles (PBE) data for an optimized crystal structure of Zn3BiMo, as listed in Alexandria.

Cell and atoms, written as CIF:
```
data_Zn3BiMo
_space_group_name_H-M_alt 'P m -3 m'
_space_group_IT_number 221
_space_group_name_Hall '-P 4 2 3'
_cell_length_a 4.8983
_cell_length_b 4.8983
_cell_length_c 4.8983
_cell_angle_alpha 90.00
_cell_angle_beta 90.00
_cell_angle_gamma 90.00
loop_
_atom_site_label
_atom_site_type_symbol
_atom_site_fract_x
_atom_site_fract_y
_atom_site_fract_z
Zn1 Zn 0.0000 0.0000 0.5000
Bi1 Bi 0.5000 0.5000 0.5000
Mo1 Mo 0.0000 0.0000 0.0000
```

Calculated values
- polymorph energy (0 for the lowest one) (eV per formula unit) = 0.00
- calculated formation energy (kJ per mole of atoms) = 82.8
- crystal system = cubic

=====

3.
First-principles (PBE) data for an optimized crystal structure of ZrZnBi2Mo, as listed in Alexandria.

Cell and atoms, written as CIF:
```
data_ZrZnBi2Mo
_space_group_name_H-M_alt 'P 4/m m m'
_space_group_IT_number 123
_space_group_name_Hall '-P 4 2'
_cell_length_a 5.2439
_cell_length_b 5.2439
_cell_length_c 4.7627
_cell_angle_alpha 90.00
_cell_angle_beta 90.00
_cell_angle_gamma 90.00
loop_
_atom_site_label
_atom_site_type_symbol
_atom_site_fract_x
_atom_site_fract_y
_atom_site_fract_z
Zr1 Zr 0.0000 0.0000 0.0000
Zn1 Zn 0.5000 0.5000 0.5000
Bi1 Bi 0.0000 0.5000 0.5000
Mo1 Mo 0.5000 0.5000 0.0000
```

Calculated values
- calculated formation energy (kJ per mole of atoms) = 99.4
- crystal system = tetragonal

=====

4.
First-principles (PBE) data for an optimized crystal structure of ZrBiMo, as listed in Alexandria.

Cell and atoms, written as CIF:
```
data_ZrBiMo
_space_group_name_H-M_alt 'R -3 m'
_space_group_IT_number 166
_space_group_name_Hall '-R 3 2"'
_cell_length_a 4.3612
_cell_length_b 4.3612
_cell_length_c 26.7991
_cell_angle_alpha 90.00
_cell_angle_beta 90.00
_cell_angle_gamma 120.00
loop_
_atom_site_label
_atom_site_type_symbol
_atom_site_fract_x
_atom_site_fract_y
_atom_site_fract_z
Zr1 Zr 0.0000 0.0000 0.0620
Bi1 Bi 0.0000 0.0000 0.2063
Mo1 Mo 0.0000 0.0000 0.3461
```

Calculated values
- calculated formation energy (kJ per mole of atoms) = 20.4
- crystal system = trigonal

=====

5.
First-principles (PBE) data for an optimized crystal structure of ZrBiMo3, as listed in Alexandria.

Cell and atoms, written as CIF:
```
data_ZrBiMo3
_space_group_name_H-M_alt 'P m -3 m'
_space_group_IT_number 221
_space_group_name_Hall '-P 4 2 3'
_cell_length_a 4.8925
_cell_length_b 4.8925
_cell_length_c 4.8925
_cell_angle_alpha 90.00
_cell_angle_beta 90.00
_cell_angle_gamma 90.00
loop_
_atom_site_label
_atom_site_type_symbol
_atom_site_fract_x
_atom_site_fract_y
_atom_site_fract_z
Zr1 Zr 0.0000 0.0000 0.0000
Bi1 Bi 0.5000 0.5000 0.5000
Mo1 Mo 0.0000 0.0000 0.5000
```

Calculated values
- polymorph energy (0 for the lowest one) (eV per formula unit) = 0.00
- calculated formation energy (kJ per mole of atoms) = 178.8
- crystal system = cubic

=====

6.
First-principles (PBE) data for an optimized crystal structure of ZrBiMo3, as listed in Alexandria.

Cell and atoms, written as CIF:
```
data_ZrBiMo3
_space_group_name_H-M_alt 'P m -3 m'
_space_group_IT_number 221
_space_group_name_Hall '-P 4 2 3'
_cell_length_a 4.9762
_cell_length_b 4.9762
_cell_length_c 4.9762
_cell_angle_alpha 90.00
_cell_angle_beta 90.00
_cell_angle_gamma 90.00
loop_
_atom_site_label
_atom_site_type_symbol
_atom_site_fract_x
_atom_site_fract_y
_atom_site_fract_z
Zr1 Zr 0.0000 0.0000 0.0000
Bi1 Bi 0.5000 0.5000 0.5000
Mo1 Mo 0.0000 0.5000 0.5000
```

Calculated values
- polymorph energy (0 for the lowest one) (eV per formula unit) = 1.17
- calculated formation energy (kJ per mole of atoms) = 201.4
- crystal system = cubic